# K2TlHgO, relaxed, DFT GGA-PBE
# DOS(E_F) ... 1.8 states/eV per cell
# Raw formation energy ... -0.5531 eV per atom
# Offset from the most stable computed form ... 0 meV per atom
data_K2TlHgO
_cell_length_a 5.289
_cell_length_b 5.289
_cell_length_c 5.297
_cell_angle_alpha 90.00
_cell_angle_beta 90.00
_cell_angle_gamma 90.00
_symmetry_space_group_name_H-M 'P 1'
_symmetry_Int_Tables_number 1
loop_
_symmetry_equiv_pos_as_xyz
'x,y,z'
loop_
_atom_site_label
_atom_site_type_symbol
_atom_site_fract_x
_atom_site_fract_y
_atom_site_fract_z
Hg1 Hg 0.500 0.500 0.500
K1 K 0.500 0.000 0.000
Tl1 Tl 0.000 0.000 0.500
O1 O 0.000 0.000 0.000
K2 K 0.000 0.500 0.000


# KTl2HgO, relaxed, DFT GGA-PBE
# DOS(E_F) ... 4.8 states/eV per cell
# Raw formation energy ... -0.3927 eV per atom
data_KTl2HgO
_cell_length_a 7.274
_cell_length_b 7.274
_cell_length_c 7.376
_cell_angle_alpha 119.54
_cell_angle_beta 119.54
_cell_angle_gamma 90.00
_symmetry_space_group_name_H-M 'P 1'
_symmetry_Int_Tables_number 1
loop_
_symmetry_equiv_pos_as_xyz
'x,y,z'
loop_
_atom_site_label
_atom_site_type_symbol
_atom_site_fract_x
_atom_site_fract_y
_atom_site_fract_z
O1 O 0.501 0.501 0.002
Tl1 Tl 0.195 0.304 0.999
Tl2 Tl 0.695 0.195 0.999
O2 O 0.001 0.001 0.002
Hg1 Hg 0.749 0.249 0.499
Hg2 Hg 0.249 0.749 0.499
K1 K 0.751 0.751 0.501
Tl3 Tl 0.304 0.804 0.999
K2 K 0.251 0.251 0.501
Tl4 Tl 0.804 0.695 0.999


# K2TlHgO, relaxed, DFT GGA-PBE
# DOS(E_F) ... 5.8 states/eV per cell
# Raw formation energy ... -0.3774 eV per atom
# Offset from the most stable computed form ... 176 meV per atom
data_K2TlHgO
_cell_length_a 5.360
_cell_length_b 5.006
_cell_length_c 5.360
_cell_angle_alpha 90.00
_cell_angle_beta 90.00
_cell_angle_gamma 90.00
_symmetry_space_group_name_H-M 'P 1'
_symmetry_Int_Tables_number 1
loop_
_symmetry_equiv_pos_as_xyz
'x,y,z'
loop_
_atom_site_label
_atom_site_type_symbol
_atom_site_fract_x
_atom_site_fract_y
_atom_site_fract_z
K1 K 0.500 0.000 0.000
K2 K 0.000 0.000 0.500
Hg1 Hg 0.000 0.500 0.000
Tl1 Tl 0.500 0.500 0.500
O1 O 0.000 0.000 0.000